<A>
! BeP3Br PBE relaxed; values from VASP
&SYSTEM
  ibrav = 0, nat = 5, ntyp = 3
/
ATOMIC_SPECIES
Be 9.01 Be.upf
P 30.97 P.upf
Br 79.90 Br.upf
CELL_PARAMETERS angstrom
4.791 0.000 0.000
0.000 4.791 0.000
0.000 0.000 4.791
ATOMIC_POSITIONS angstrom
Be 0.000 0.000 0.000
P 0.000 2.395 2.395
P 2.395 0.000 2.395
P 2.395 2.395 0.000
Br 2.395 2.395 2.395
! Space-group type: Pm-3m (221)
! N(E_F) (states/eV/atom): 0.778



<B>
! BeP3Br PBE relaxed; values from VASP
&SYSTEM
  ibrav = 0, nat = 5, ntyp = 3
/
ATOMIC_SPECIES
Be 9.01 Be.upf
P 30.97 P.upf
Br 79.90 Br.upf
CELL_PARAMETERS angstrom
4.383 0.000 0.000
0.000 4.383 0.000
0.000 0.000 4.383
ATOMIC_POSITIONS angstrom
Be 0.000 0.000 0.000
P 0.000 0.000 2.192
P 0.000 2.192 0.000
P 2.192 0.000 0.000
Br 2.192 2.192 2.192
! Space-group type: Pm-3m (221)
! N(E_F) (states/eV/atom): 1.000



Name the least stable of them. <A>.



<A>
! BePBr3 PBE relaxed; values from VASP
&SYSTEM
  ibrav = 0, nat = 5, ntyp = 3
/
ATOMIC_SPECIES
Be 9.01 Be.upf
P 30.97 P.upf
Br 79.90 Br.upf
CELL_PARAMETERS angstrom
4.867 0.000 0.000
0.000 4.867 0.000
0.000 0.000 4.867
ATOMIC_POSITIONS angstrom
Be 0.000 0.000 0.000
P 2.433 2.433 2.433
Br 0.000 0.000 2.433
Br 0.000 2.433 0.000
Br 2.433 0.000 0.000
! Space-group type: Pm-3m (221)
! N(E_F) (states/eV/atom): 0.673



<B>
! BePBr3 PBE relaxed; values from VASP
&SYSTEM
  ibrav = 0, nat = 5, ntyp = 3
/
ATOMIC_SPECIES
Be 9.01 Be.upf
P 30.97 P.upf
Br 79.90 Br.upf
CELL_PARAMETERS angstrom
5.136 0.000 0.000
0.000 5.136 0.000
0.000 0.000 5.136
ATOMIC_POSITIONS angstrom
Be 0.000 0.000 0.000
P 2.568 2.568 2.568
Br 0.000 2.568 2.568
Br 2.568 0.000 2.568
Br 2.568 2.568 0.000
! Space-group type: Pm-3m (221)
! N(E_F) (states/eV/atom): 0.225



Name the least stable of them. <B>.



<A>
! BePSeBr2 PBE relaxed; values from VASP
&SYSTEM
  ibrav = 0, nat = 5, ntyp = 4
/
ATOMIC_SPECIES
Be 9.01 Be.upf
P 30.97 P.upf
Se 78.96 Se.upf
Br 79.90 Br.upf
CELL_PARAMETERS angstrom
4.986 0.000 0.000
0.000 4.986 0.000
0.000 0.000 5.042
ATOMIC_POSITIONS angstrom
Be 0.000 0.000 0.000
P 2.493 2.493 2.521
Se 2.493 2.493 0.000
Br 0.000 2.493 2.521
Br 2.493 0.000 2.521
! Space-group type: P4/mmm (123)
! N(E_F) (states/eV/atom): 0.363



<B>
! BePSeBr2 PBE relaxed; values from VASP
&SYSTEM
  ibrav = 0, nat = 5, ntyp = 4
/
ATOMIC_SPECIES
Be 9.01 Be.upf
P 30.97 P.upf
Se 78.96 Se.upf
Br 79.90 Br.upf
CELL_PARAMETERS angstrom
4.551 0.000 0.000
0.000 4.551 0.000
0.000 0.000 5.035
ATOMIC_POSITIONS angstrom
Be 0.000 0.000 0.000
P 2.275 2.275 2.517
Se 0.000 0.000 2.517
Br 0.000 2.275 0.000
Br 2.275 0.000 0.000
! Space-group type: P4/mmm (123)
! N(E_F) (states/eV/atom): 0.513



Name the least stable of them. <A>.



<A>
! BePSe2Br PBE relaxed; values from VASP
&SYSTEM
  ibrav = 0, nat = 5, ntyp = 4
/
ATOMIC_SPECIES
Be 9.01 Be.upf
P 30.97 P.upf
Se 78.96 Se.upf
Br 79.90 Br.upf
CELL_PARAMETERS angstrom
4.882 0.000 0.000
0.000 4.882 0.000
0.000 0.000 4.915
ATOMIC_POSITIONS angstrom
Be 0.000 0.000 0.000
P 2.441 2.441 2.458
Se 0.000 2.441 2.458
Se 2.441 0.000 2.458
Br 2.441 2.441 0.000
! Space-group type: P4/mmm (123)
! N(E_F) (states/eV/atom): 0.644



<B>
! BePSe2Br PBE relaxed; values from VASP
&SYSTEM
  ibrav = 0, nat = 5, ntyp = 4
/
ATOMIC_SPECIES
Be 9.01 Be.upf
P 30.97 P.upf
Se 78.96 Se.upf
Br 79.90 Br.upf
CELL_PARAMETERS angstrom
4.699 0.000 0.000
0.000 4.699 0.000
0.000 0.000 4.460
ATOMIC_POSITIONS angstrom
Be 0.000 0.000 0.000
P 2.349 2.349 2.230
Se 0.000 2.349 0.000
Se 2.349 0.000 0.000
Br 0.000 0.000 2.230
! Space-group type: P4/mmm (123)
! N(E_F) (states/eV/atom): 0.905



Name the least stable of them. <A>.



<A>
! Be2PbBr PBE relaxed; values from VASP
&SYSTEM
  ibrav = 0, nat = 4, ntyp = 3
/
ATOMIC_SPECIES
Be 9.01 Be.upf
Pb 207.20 Pb.upf
Br 79.90 Br.upf
CELL_PARAMETERS angstrom
0.000 3.400 3.400
3.400 0.000 3.400
3.400 3.400 0.000
ATOMIC_POSITIONS angstrom
Be 1.700 1.700 1.700
Be 5.100 5.100 5.100
Pb 0.000 0.000 0.000
Br 3.400 3.400 3.400
! Space-group type: Fm-3m (225)
! N(E_F) (states/eV/atom): 0.809



<B>
! Be2PbBr PBE relaxed; values from VASP
&SYSTEM
  ibrav = 0, nat = 4, ntyp = 3
/
ATOMIC_SPECIES
Be 9.01 Be.upf
Pb 207.20 Pb.upf
Br 79.90 Br.upf
CELL_PARAMETERS angstrom
3.440 0.000 0.000
0.000 3.440 0.000
0.000 0.000 7.323
ATOMIC_POSITIONS angstrom
Be 0.000 0.000 0.000
Be 1.720 1.720 1.072
Pb 1.720 1.720 5.845
Br 0.000 0.000 2.225
! Space-group type: P4mm (99)
! N(E_F) (states/eV/atom): 0.409



Name the least stable of them. <A>.



<A>
! Be2PbBr PBE relaxed; values from VASP
&SYSTEM
  ibrav = 0, nat = 4, ntyp = 3
/
ATOMIC_SPECIES
Be 9.01 Be.upf
Pb 207.20 Pb.upf
Br 79.90 Br.upf
CELL_PARAMETERS angstrom
-1.586 2.909 4.570
1.586 -2.909 4.570
1.586 2.909 -4.570
ATOMIC_POSITIONS angstrom
Be 0.000 0.000 0.000
Be 0.000 2.909 2.908
Pb 0.000 0.000 4.894
Br 1.586 0.000 1.709
! Space-group type: Imm2 (44)
! N(E_F) (states/eV/atom): 0.305



<B>
! Be2PbBr PBE relaxed; values from VASP
&SYSTEM
  ibrav = 0, nat = 4, ntyp = 3
/
ATOMIC_SPECIES
Be 9.01 Be.upf
Pb 207.20 Pb.upf
Br 79.90 Br.upf
CELL_PARAMETERS angstrom
-1.666 3.753 3.947
1.666 -3.753 3.947
1.666 3.753 -3.947
ATOMIC_POSITIONS angstrom
Be 0.000 1.812 0.000
Be 0.000 5.694 0.000
Pb 0.000 0.000 3.947
Br 1.666 0.000 0.000
! Space-group type: Immm (71)
! N(E_F) (states/eV/atom): 0.453



Name the least stable of them. <B>.



<A>
! Be2PbBr PBE relaxed; values from VASP
&SYSTEM
  ibrav = 0, nat = 4, ntyp = 3
/
ATOMIC_SPECIES
Be 9.01 Be.upf
Pb 207.20 Pb.upf
Br 79.90 Br.upf
CELL_PARAMETERS angstrom
1.801 1.040 6.808
-1.801 1.040 6.808
0.000 -2.080 6.808
ATOMIC_POSITIONS angstrom
Be 0.000 0.000 5.090
Be 0.000 0.000 15.333
Pb 0.000 0.000 10.212
Br 0.000 0.000 0.000
! Space-group type: R-3m (166)
! N(E_F) (states/eV/atom): 0.442



<B>
! Be2PbBr PBE relaxed; values from VASP
&SYSTEM
  ibrav = 0, nat = 4, ntyp = 3
/
ATOMIC_SPECIES
Be 9.01 Be.upf
Pb 207.20 Pb.upf
Br 79.90 Br.upf
CELL_PARAMETERS angstrom
2.017 -3.098 0.000
2.017 3.098 0.000
0.000 0.000 7.733
ATOMIC_POSITIONS angstrom
Be 0.000 0.000 0.000
Be 2.017 0.000 0.827
Pb 2.017 0.000 6.110
Br 0.000 0.000 2.325
! Space-group type: Cmm2 (35)
! N(E_F) (states/eV/atom): 0.261



Name the least stable of them. <A>.



<A>
! Rb2BePbBr6 PBE relaxed; values from VASP
&SYSTEM
  ibrav = 0, nat = 10, ntyp = 4
/
ATOMIC_SPECIES
Rb 85.47 Rb.upf
Be 9.01 Be.upf
Pb 207.20 Pb.upf
Br 79.90 Br.upf
CELL_PARAMETERS angstrom
0.000 5.480 5.480
5.480 0.000 5.480
5.480 5.480 0.000
ATOMIC_POSITIONS angstrom
Rb 2.740 2.740 2.740
Rb 8.220 8.220 8.220
Be 0.000 0.000 0.000
Pb 5.480 5.480 5.480
Br 5.480 5.480 2.492
Br 5.480 2.492 5.480
Br 8.469 5.480 5.480
Br 2.492 5.480 5.480
Br 5.480 8.469 5.480
Br 5.480 5.480 8.469
! Space-group type: Fm-3m (225)
! N(E_F) (states/eV/atom): 0.000



<B>
! Rb2BePbBr6 PBE relaxed; values from VASP
&SYSTEM
  ibrav = 0, nat = 10, ntyp = 4
/
ATOMIC_SPECIES
Rb 85.47 Rb.upf
Be 9.01 Be.upf
Pb 207.20 Pb.upf
Br 79.90 Br.upf
CELL_PARAMETERS angstrom
7.901 0.000 0.000
-3.950 6.847 0.000
-0.004 -4.557 7.991
ATOMIC_POSITIONS angstrom
Rb 0.000 0.000 0.000
Rb -0.001 4.568 3.834
Be 0.002 0.001 5.376
Pb 3.950 2.283 2.811
Br -2.398 4.123 1.388
Br -1.382 1.574 5.342
Br 1.579 2.710 1.391
Br 2.057 0.414 5.346
Br 4.763 0.019 1.387
Br 7.233 -1.984 5.341
! Space-group type: P1 (1)
! N(E_F) (states/eV/atom): 0.000



Name the least stable of them. <A>.